Density functional theory data (PBE) for Sm7TmMg4 after structural relaxation.

Lattice parameters (Å, degrees): 15.2911 5.8091 9.7433 90.00 121.25 90.00
With the nearest neighbours (Å) after each atom.
Space group C2/m (No. 12)
Inequivalent atoms, fractional coordinates:
Sm (0.0000, 0.0000, 0.0000) [2 per cell]  2 Tm 2.90, 2 Mg 3.02
Sm (0.0816, 0.5000, 0.4253) [4 per cell]  5 Mg 3.20-3.50, 2 Sm 3.48-3.49
Sm (0.1973, 0.5000, 0.8775) [4 per cell]  7 Sm 3.57-3.80, 3 Mg 3.60, 1 Tm 3.78
Sm (0.2485, 0.0000, 0.7130) [4 per cell]  4 Mg 3.11-3.29, 1 Tm 3.38
Tm (0.0000, 0.5000, 0.0000) [2 per cell]  2 Sm 2.90
Mg (0.0395, 0.0000, 0.6948) [4 per cell]  2 Mg 3.09-3.33, 4 Sm 3.11-3.33
Mg (0.1746, 0.0000, 0.3450) [4 per cell]  5 Sm 3.02-3.29, 1 Mg 3.09

Results
For the volume, the calculation gives 370.0 Å³/f.u. The magnetization comes out at 0.0 Bohr magnetons per cell. The calculation puts the formation energy at 143 meV per atom. For the density, the calculation gives 5.92 g/cm³.